A relaxed structure of Ce2AlHg, computed with PBE.

Computed properties:
The value obtained for the energy above the most stable polymorph in this dataset is 0.010 eV per atom. The density comes out at 8.71 Mg/m³. The crystal system is orthorhombic. Its total moment is 0.95 μB per cell.

Geometry as POSCAR:
```
Ce2AlHg
1.0
3.308 0.000 0.000
0.000 4.616 0.000
0.000 0.000 6.341
Ce Al Hg
2 1 1
Direct
0.000 0.000 0.226 Ce
0.000 0.000 0.774 Ce
0.500 0.500 0.000 Al
0.500 0.500 0.500 Hg
```